[1]
This record from Alexandria via LeMat-Bulk describes an optimized crystal structure of AgSb3Ru. The functional is GGA-PBE.

Cell: 5.2483 5.2483 5.2483 Å, 90.00 90.00 90.00°
With the nearest neighbours (Å) after each atom.
Space group Pm-3m (No. 221)
Unique sites:
1 Ag 0.0000 0.0000 0.0000  6 Sb 2.62
2 Sb 0.0000 0.0000 0.5000  2 Ag 2.62
3 Ru 0.5000 0.5000 0.5000  12 Sb 3.71

Properties
Energy above the most stable polymorph in this dataset in eV per atom: 0.839
DOS at the Fermi energy in states/eV/atom: 1.758
Total energy in eV per formula unit: -17.852
Theoretical density in g/cm³: 6.596


[2]
This record from Alexandria via LeMat-Bulk describes an optimized crystal structure of AgSbRu. The functional is GGA-PBE.

Cell: 4.2888 4.2888 6.3963 Å, 90.00 90.00 90.00°
With the nearest neighbours (Å) after each atom.
Space group P4/nmm (No. 129, origin choice 2)
Unique sites:
1 Ag 0.2500 0.2500 0.1797  5 Sb 2.79-3.07, 4 Ru 2.97
2 Sb 0.2500 0.2500 0.7429  4 Ru 2.65, 1 Ag 2.79
3 Ru 0.2500 0.7500 0.5000  4 Sb 2.65, 4 Ag 2.97

Properties
Energy above the most stable polymorph in this dataset in eV per atom: 0.000
DOS at the Fermi energy in states/eV/atom: 0.369
Total energy in eV per formula unit: -16.291
Theoretical density in g/cm³: 9.335


[3]
This record from Alexandria via LeMat-Bulk describes an optimized crystal structure of Ag2Sb2Ru. The functional is GGA-PBE.

Cell: 6.8517 6.8517 4.5351 Å, 90.00 90.00 90.00°
With the nearest neighbours (Å) after each atom.
Space group P4/mbm (No. 127)
Unique sites:
1 Ag 0.1640 0.3360 0.0000  6 Sb 2.90-3.12, 1 Ag 3.18
2 Sb 0.1491 0.6491 0.5000  2 Ru 2.61, 1 Sb 2.89, 2 Ag 2.90
3 Ru 0.0000 0.0000 0.5000  4 Sb 2.61

Properties
Energy above the most stable polymorph in this dataset in eV per atom: 0.000
DOS at the Fermi energy in states/eV/atom: 0.486
Total energy in eV per formula unit: -21.995
Theoretical density in g/cm³: 8.740


| no. | E_form (uncorrected) (eV per atom) | M_tot (μB/f.u.) |
| --- | --- | --- |
| 1 | 1.329 | 1.7 |
| 2 | -0.014 | 0.0 |
| 3 | 0.246 | 0.0 |